1.
# Ag15Pd (PBE, optimized geometry)
# ΔE_f	19.4	meV per atom
# ρ	10.06	g/cm³
# E_tot	-0.219	Ry per atom
# spin magnetization	0.000	μB/f.u.
data_Ag15Pd
_cell_length_a 5.8509
_cell_length_b 5.8509
_cell_length_c 9.5985
_cell_angle_alpha 90.00
_cell_angle_beta 90.00
_cell_angle_gamma 120.00
_space_group_name_H-M_alt 'P -6 m 2'
_space_group_IT_number 187
_space_group_name_Hall 'P -6 2'
loop_
_atom_site_label
_atom_site_type_symbol
_atom_site_fract_x
_atom_site_fract_y
_atom_site_fract_z
_atom_site_occupancy
Ag1 Ag 0.0000 0.0000 0.0000 1
Ag2 Ag 0.0007 0.5003 0.5000 1
Ag3 Ag 0.3315 0.1658 0.2517 1
Ag4 Ag 0.3333 0.6667 0.2489 1
Ag5 Ag 0.5005 0.0009 0.0000 1
Pd1 Pd 0.0000 0.0000 0.5000 1


2.
# HgC2Cl (PBE, optimized geometry)
# offset from the most stable computed form	0.0000	eV/atom
# ρ	6.22	g/cm³
# E_form (uncorrected)	2.519	eV per atom
# E_tot	-0.193	Ry per atom
# spin magnetization	0.000	μB/f.u.
data_HgC2Cl
_cell_length_a 5.014
_cell_length_b 5.014
_cell_length_c 11.046
_cell_angle_alpha 90.00
_cell_angle_beta 90.00
_cell_angle_gamma 90.00
_space_group_name_H-M_alt 'I -4 2 d'
_space_group_IT_number 122
_space_group_name_Hall 'I -4 2bw'
loop_
_atom_site_label
_atom_site_type_symbol
_atom_site_fract_x
_atom_site_fract_y
_atom_site_fract_z
_atom_site_occupancy
Hg1 Hg 0.000 0.000 0.000 1
C1 C 0.249 0.250 0.125 1
Cl1 Cl 0.000 0.000 0.500 1


3.
# MnTcAsSe2 (PBE, optimized geometry)
# offset from the most stable computed form	0.0000	eV/atom
# ρ	6.12	g/cm³
# E_form (uncorrected)	0.771	eV per atom
# E_tot	-0.401	Ry per atom
# spin magnetization	0.653	μB/f.u.
data_MnTcAsSe2
_cell_length_a 4.729
_cell_length_b 4.729
_cell_length_c 4.682
_cell_angle_alpha 90.00
_cell_angle_beta 90.00
_cell_angle_gamma 90.00
_space_group_name_H-M_alt 'P 4/m m m'
_space_group_IT_number 123
_space_group_name_Hall '-P 4 2'
loop_
_atom_site_label
_atom_site_type_symbol
_atom_site_fract_x
_atom_site_fract_y
_atom_site_fract_z
_atom_site_occupancy
Mn1 Mn 0.000 0.000 0.000 1
Tc1 Tc 0.500 0.500 0.500 1
As1 As 0.000 0.000 0.500 1
Se1 Se 0.000 0.500 0.000 1